1.
5
Lattice="4.111 0.000 0.000 0.000 4.111 0.000 0.000 0.000 4.111" Properties=species:S:1:pos:R:3 comment="MoC3N (PBE-GGA, relaxed)" raw_formation_energy_mev_per_atom=3015 energy_ev_per_fu=-31.75 polymorph_energy_ev_per_atom=0.253 pbc="T T T"
Mo 0.000 0.000 0.000
C 0.000 0.000 2.056
C 0.000 2.056 0.000
C 2.056 0.000 0.000
N 2.056 2.056 2.056

=====

2.
4
Lattice="1.448 0.836 5.391 -1.448 0.836 5.391 0.000 -1.672 5.391" Properties=species:S:1:pos:R:3 comment="MoCN2 (PBE-GGA, relaxed)" raw_formation_energy_mev_per_atom=197 energy_ev_per_fu=-35.92 pbc="T T T"
Mo 0.000 0.000 0.000
C 0.000 0.000 8.086
N 0.000 0.000 6.839
N 0.000 0.000 9.333

=====

3.
27
Lattice="9.092 0.000 0.000 -4.546 7.874 0.000 0.000 0.000 4.741" Properties=species:S:1:pos:R:3 comment="Mo6C2N (PBE-GGA, relaxed)" raw_formation_energy_mev_per_atom=-134 energy_ev_per_fu=-92.97 pbc="T T T"
Mo -1.528 4.367 1.181
Mo 0.000 1.749 1.170
Mo -3.031 6.999 1.170
Mo 1.515 0.875 3.571
Mo 0.000 3.542 3.548
Mo -1.479 6.103 3.548
Mo 1.528 4.367 1.181
Mo 0.000 7.013 1.181
Mo 3.067 1.771 1.194
Mo 1.479 6.103 3.548
Mo 4.546 0.860 3.560
Mo 3.018 3.507 3.560
Mo 6.024 1.771 1.194
Mo 4.546 4.332 1.194
Mo 3.031 6.999 1.170
Mo 7.577 0.875 3.571
Mo 4.546 6.125 3.571
Mo 6.074 3.507 3.560
C -1.520 2.633 2.371
C -3.026 5.241 2.371
C 3.040 0.000 2.371
C 1.520 2.633 2.371
C 6.052 0.000 2.371
C 3.026 5.241 2.371
N 0.000 0.000 2.371
N 0.000 5.249 0.040
N 4.546 2.625 4.701

=====

4.
4
Lattice="1.303 0.753 5.935 -1.303 0.753 5.935 0.000 -1.505 5.935" Properties=species:S:1:pos:R:3 comment="MoCN2 (PBE-GGA, relaxed)" raw_formation_energy_mev_per_atom=1627 energy_ev_per_fu=-30.20 pbc="T T T"
Mo 0.000 0.000 0.000
C 0.000 0.000 8.902
N 0.000 0.000 2.067
N 0.000 0.000 15.738

=====

5.
80
Lattice="-7.791 7.791 5.608 7.791 -7.791 5.608 7.791 7.791 -5.608" Properties=species:S:1:pos:R:3 comment="Na2MoC3SeN3 (PBE-GGA, relaxed)" raw_formation_energy_mev_per_atom=-303 energy_ev_per_fu=-72.63 pbc="T T T"
Na 5.480 0.000 0.000
Na 10.102 0.000 0.000
Na 5.713 3.896 0.259
Na 9.870 3.896 0.259
Na 7.791 1.817 2.545
Na 3.896 9.376 -2.804
Na 3.896 1.585 2.804
Na 0.000 1.817 3.063
Na 5.480 7.791 0.000
Na 2.311 0.000 5.608
Na 7.791 5.974 2.545
Na -3.896 6.207 2.804
Na 3.896 6.207 2.804
Na 0.000 5.974 3.063
Na -2.078 3.896 5.349
Na 2.078 3.896 5.349
Mo 7.791 5.365 -3.148
Mo 7.791 -2.427 3.148
Mo 1.469 3.896 -0.344
Mo 6.323 -3.896 5.264
Mo 1.469 11.687 0.344
Mo 6.323 3.896 5.952
Mo 0.000 10.218 2.460
Mo 0.000 2.427 8.756
C 7.791 2.253 -1.025
C 3.103 2.553 -0.057
C 12.480 2.553 -0.057
C 6.448 6.998 -2.861
C 1.343 -0.793 2.747
C 6.448 -0.793 2.861
C 9.134 -0.793 2.861
C 7.791 5.538 -1.025
C 3.103 5.239 -0.057
C 4.689 -2.553 5.551
C -1.642 3.896 1.779
C 1.642 3.896 1.779
C 6.149 3.896 3.829
C 9.434 3.896 3.829
C 3.103 10.344 0.057
C 4.689 2.553 5.665
C 0.000 2.253 6.633
C -1.343 8.584 2.747
C 1.343 8.584 2.747
C 6.448 8.584 2.861
C 1.343 0.793 8.469
C -4.689 5.239 5.665
C 4.689 5.239 5.665
C 0.000 5.538 6.633
Se 5.745 -3.896 2.816
Se 9.838 -3.896 2.816
Se 7.791 -5.943 5.596
Se 7.791 -1.849 5.596
Se 0.000 9.640 0.012
Se 0.000 13.734 0.012
Se -2.047 11.687 2.792
Se 2.047 11.687 2.792
N 4.066 1.933 0.236
N 11.517 1.933 0.236
N 7.791 2.087 0.149
N 5.828 0.171 2.568
N 9.754 0.171 2.568
N 5.828 7.962 -2.568
N 1.963 0.171 3.040
N 7.791 5.705 0.149
N 4.066 5.859 0.236
N 3.725 -1.933 5.844
N 5.982 3.896 2.655
N 9.601 3.896 2.655
N -1.809 3.896 2.953
N 1.809 3.896 2.953
N 4.066 9.724 -0.236
N 3.725 1.933 5.372
N 0.000 2.087 5.459
N 5.828 7.621 2.568
N 1.963 -0.171 8.176
N -1.963 7.621 3.040
N 1.963 7.621 3.040
N 0.000 5.705 5.459
N -3.725 5.859 5.372
N 3.725 5.859 5.372

=====

6.
4
Lattice="-1.445 1.456 5.146 1.445 -1.456 5.146 1.445 1.456 -5.146" Properties=species:S:1:pos:R:3 comment="NbMoCN (PBE-GGA, relaxed)" raw_formation_energy_mev_per_atom=-525 energy_ev_per_fu=-40.55 pbc="T T T"
Nb 0.000 0.000 0.000
Mo 0.000 1.456 2.561
C 1.445 0.000 3.396
N 0.000 0.000 5.998

=====

7.
24
Lattice="4.719 -4.731 0.000 4.719 4.731 0.000 0.000 0.000 6.677" Properties=species:S:1:pos:R:3 comment="Ni4Mo6CN (PBE-GGA, relaxed)" raw_formation_energy_mev_per_atom=-171 energy_ev_per_fu=-107.72 pbc="T T T"
Ni 3.536 2.907 4.624
Ni 2.906 1.179 2.954
Ni 5.902 2.907 5.392
Ni 2.906 -1.179 3.723
Ni 6.533 1.179 0.384
Ni 3.536 -2.907 2.054
Ni 6.533 -1.179 6.293
Ni 5.902 -2.907 1.285
Mo 0.477 0.000 3.339
Mo 2.001 0.813 5.511
Mo 3.884 2.008 0.506
Mo 2.001 -0.813 1.167
Mo 5.554 2.008 2.832
Mo 4.719 0.453 5.008
Mo 4.719 -0.453 1.669
Mo 3.884 -2.008 6.171
Mo 7.437 0.813 4.505
Mo 5.554 -2.008 3.845
Mo 7.437 -0.813 2.172
Mo 8.961 0.000 0.000
C 4.719 3.532 1.669
C 4.719 -3.532 5.008
N 3.554 0.000 0.000
N 5.884 0.000 3.339

=====

8.
26
Lattice="7.242 0.000 0.000 2.258 9.264 0.000 0.423 4.728 9.390" Properties=species:S:1:pos:R:3 comment="Mo3C8S13N2 (PBE-GGA, relaxed)" raw_formation_energy_mev_per_atom=457 energy_ev_per_fu=-164.70 pbc="T T T"
Mo 0.000 0.000 0.000
Mo 0.502 1.923 1.857
Mo 8.176 7.314 8.574
C 3.532 9.444 7.262
C 2.922 4.805 4.234
C 4.119 10.475 8.246
C 2.881 3.424 3.840
C 4.514 10.315 6.791
C 4.285 4.911 4.941
C 4.278 3.770 3.898
C 5.827 9.815 7.478
S 1.068 4.198 1.013
S 2.328 8.799 2.460
S 2.883 6.807 0.032
S 2.859 7.941 7.040
S 1.901 2.020 3.981
S 2.104 1.110 0.286
S 6.241 6.005 7.921
S 7.173 9.003 6.863
S 6.373 3.638 0.890
S 7.980 9.857 1.794
S 8.634 11.928 8.893
S 7.246 2.682 4.195
S 7.928 5.384 6.987
N 4.132 5.192 3.452
N 5.440 10.066 8.732